# 1
Compound: Cs4BiSbCl12
Source: Alexandria via LeMat-Bulk
Functional: PBE
Structure: optimized geometry

a = 7.7264 Å, b = 7.7264 Å, c = 10.8665 Å
α = 90.00°, β = 90.00°, γ = 90.00°
Space group P4/mmm (No. 123)
Asymmetric unit:
Cs1 0.0000 0.5000 0.2199 (multiplicity 4)
Bi1 0.0000 0.0000 0.0000 (multiplicity 1)
Sb1 0.5000 0.5000 0.5000 (multiplicity 1)
Cl1 0.0000 0.0000 0.2519 (multiplicity 2)
Cl2 0.2498 0.2498 0.0000 (multiplicity 4)
Cl3 0.2786 0.2786 0.5000 (multiplicity 4)
Cl4 0.5000 0.5000 0.2772 (multiplicity 2)

Results
Its formation energy (no corrections) is -1.410 eV/atom.

***

# 2
Compound: SmLuZnSn
Source: Alexandria via LeMat-Bulk
Functional: PBE
Structure: optimized geometry

a = 7.3366 Å, b = 7.3366 Å, c = 7.3366 Å
α = 90.00°, β = 90.00°, γ = 90.00°
Space group F-43m (No. 216)
Asymmetric unit:
Sm1 0.0000 0.0000 0.0000 (multiplicity 4)
Lu1 0.0000 0.0000 0.5000 (multiplicity 4)
Zn1 0.2500 0.2500 0.7500 (multiplicity 4)
Sn1 0.2500 0.2500 0.2500 (multiplicity 4)

Results
The calculated formation energy comes out at -0.472 eV/atom.

***

# 3
Compound: La7Pr3Th2
Source: Alexandria via LeMat-Bulk
Functional: PBE
Structure: optimized geometry

a = 6.0693 Å, b = 3.6490 Å, c = 19.6427 Å
α = 90.00°, β = 93.35°, γ = 90.00°
Space group P2/m (No. 10)
Asymmetric unit:
La1 0.0000 0.0000 0.0000 (multiplicity 1)
La2 0.1816 0.5000 0.1801 (multiplicity 2)
La3 0.2604 0.5000 0.5388 (multiplicity 2)
La4 0.3259 0.0000 0.8523 (multiplicity 2)
Pr1 0.2251 0.0000 0.3630 (multiplicity 2)
Pr2 0.5000 0.5000 0.0000 (multiplicity 1)
Th1 0.2842 0.5000 0.7040 (multiplicity 2)

Results
The calculated formation energy comes out at 0.113 eV/atom.

***

# 4
Compound: Bi2Te2I
Source: Alexandria via LeMat-Bulk
Functional: PBE
Structure: optimized geometry

a = 5.6804 Å, b = 5.6804 Å, c = 11.6899 Å
α = 90.00°, β = 90.00°, γ = 90.00°
Space group I4/mmm (No. 139)
Asymmetric unit:
Bi1 0.0000 0.0000 0.1428 (multiplicity 4)
Te1 0.0000 0.5000 0.2500 (multiplicity 4)
I1 0.0000 0.0000 0.5000 (multiplicity 2)

Results
Its formation energy (no corrections) is -0.093 eV/atom.

***

# 5
Compound: Ac5Nd5Ho2
Source: Alexandria via LeMat-Bulk
Functional: PBE
Structure: optimized geometry

a = 18.0799 Å, b = 5.9623 Å, c = 10.3992 Å
α = 90.00°, β = 124.84°, γ = 90.00°
Space group C2/m (No. 12)
Asymmetric unit:
Ac1 0.0000 0.0000 0.0000 (multiplicity 2)
Ac2 0.1222 0.0000 0.4598 (multiplicity 4)
Ac3 0.2483 0.5000 0.7591 (multiplicity 4)
Nd1 0.0000 0.5000 0.5000 (multiplicity 2)
Nd2 0.1225 0.5000 0.2844 (multiplicity 4)
Nd3 0.1235 0.5000 0.9544 (multiplicity 4)
Ho1 0.1267 0.0000 0.7985 (multiplicity 4)

Results
The calculated formation energy comes out at 0.076 eV/atom.

***

# 6
Compound: Hf3ZrPa
Source: Alexandria via LeMat-Bulk
Functional: PBE
Structure: optimized geometry

a = 5.1342 Å, b = 7.5181 Å, c = 6.1371 Å
α = 90.00°, β = 90.00°, γ = 90.00°
Space group Pmmn (No. 59, origin choice 2)
Asymmetric unit:
Hf1 0.2500 0.0640 0.2459 (multiplicity 4)
Hf2 0.2500 0.2500 0.7444 (multiplicity 2)
Zr1 0.2500 0.7500 0.9677 (multiplicity 2)
Pa1 0.2500 0.7500 0.5210 (multiplicity 2)

Results
The calculated formation energy comes out at 0.282 eV/atom.

***

# 7
Compound: Nb2CoW
Source: Alexandria via LeMat-Bulk
Functional: PBE
Structure: optimized geometry

a = 3.2113 Å, b = 3.2113 Å, c = 6.1923 Å
α = 90.00°, β = 90.00°, γ = 90.00°
Space group P4/mmm (No. 123)
Asymmetric unit:
Nb1 0.0000 0.0000 0.2441 (multiplicity 2)
Co1 0.5000 0.5000 0.0000 (multiplicity 1)
W1 0.5000 0.5000 0.5000 (multiplicity 1)

Results
The calculated formation energy comes out at -0.020 eV/atom.

***

# 8
Compound: NdSmAgPt
Source: Alexandria via LeMat-Bulk
Functional: PBE
Structure: optimized geometry

a = 7.3002 Å, b = 7.3002 Å, c = 7.3002 Å
α = 90.00°, β = 90.00°, γ = 90.00°
Space group F-43m (No. 216)
Asymmetric unit:
Nd1 0.0000 0.0000 0.0000 (multiplicity 4)
Sm1 0.0000 0.0000 0.5000 (multiplicity 4)
Ag1 0.2500 0.2500 0.2500 (multiplicity 4)
Pt1 0.2500 0.2500 0.7500 (multiplicity 4)

Results
The calculated formation energy comes out at -0.679 eV/atom.

***

# 9
Compound: CsVAsBr2
Source: Alexandria via LeMat-Bulk
Functional: PBE
Structure: optimized geometry

a = 5.5306 Å, b = 5.5306 Å, c = 4.8737 Å
α = 90.00°, β = 90.00°, γ = 90.00°
Space group P4/mmm (No. 123)
Asymmetric unit:
Cs1 0.0000 0.0000 0.0000 (multiplicity 1)
V1 0.5000 0.5000 0.5000 (multiplicity 1)
As1 0.5000 0.5000 0.0000 (multiplicity 1)
Br1 0.0000 0.5000 0.5000 (multiplicity 2)

Results
Its formation energy (no corrections) is -0.662 eV/atom.

***

# 10
Compound: ZrSi3H
Source: Alexandria via LeMat-Bulk
Functional: PBE
Structure: optimized geometry

a = 5.1094 Å, b = 5.1094 Å, c = 5.1094 Å
α = 90.00°, β = 90.00°, γ = 90.00°
Space group Pm-3m (No. 221)
Asymmetric unit:
Zr1 0.0000 0.0000 0.0000 (multiplicity 1)
Si1 0.0000 0.0000 0.5000 (multiplicity 3)
H1 0.5000 0.5000 0.5000 (multiplicity 1)

Results
For the electronic total energy, the calculation gives -4.395 eV per atom.

***

# 11
Compound: LaNiW
Source: Alexandria via LeMat-Bulk
Functional: PBE
Structure: optimized geometry

a = 3.0853 Å, b = 3.0853 Å, c = 12.1967 Å
α = 90.00°, β = 90.00°, γ = 90.00°
Space group I4mm (No. 107)
Asymmetric unit:
La1 0.0000 0.0000 0.0000 (multiplicity 2)
Ni1 0.0000 0.0000 0.3045 (multiplicity 2)
W1 0.0000 0.0000 0.7001 (multiplicity 2)

Results
The calculated formation energy comes out at 0.313 eV/atom.

***

# 12
Compound: LaAgMoPt
Source: Alexandria via LeMat-Bulk
Functional: PBE
Structure: optimized geometry

a = 2.9401 Å, b = 3.9862 Å, c = 6.9924 Å
α = 90.00°, β = 90.00°, γ = 90.00°
Space group Pmm2 (No. 25)
Asymmetric unit:
La1 0.0000 0.0000 0.0000 (multiplicity 1)
Ag1 0.5000 0.5000 0.3084 (multiplicity 1)
Mo1 0.0000 0.0000 0.5461 (multiplicity 1)
Pt1 0.5000 0.5000 0.7072 (multiplicity 1)

Results
The calculated formation energy comes out at -0.005 eV/atom.

***

# 13
Compound: RbLaTi2B
Source: Alexandria via LeMat-Bulk
Functional: PBE
Structure: optimized geometry

a = 4.8184 Å, b = 4.8184 Å, c = 5.1989 Å
α = 90.00°, β = 90.00°, γ = 90.00°
Space group P4/mmm (No. 123)
Asymmetric unit:
Rb1 0.0000 0.0000 0.0000 (multiplicity 1)
La1 0.5000 0.5000 0.5000 (multiplicity 1)
Ti1 0.0000 0.5000 0.0000 (multiplicity 2)
B1 0.0000 0.0000 0.5000 (multiplicity 1)

Results
The calculated formation energy comes out at 2.047 eV/atom.

***

# 14
Compound: LaDy2Tm
Source: Alexandria via LeMat-Bulk
Functional: PBE
Structure: optimized geometry

a = 8.0822 Å, b = 8.0822 Å, c = 8.0822 Å
α = 90.00°, β = 90.00°, γ = 90.00°
Space group Fm-3m (No. 225)
Asymmetric unit:
La1 0.0000 0.0000 0.0000 (multiplicity 4)
Dy1 0.2500 0.2500 0.2500 (multiplicity 8)
Tm1 0.0000 0.0000 0.5000 (multiplicity 4)

Results
The calculated formation energy comes out at 0.137 eV/atom.

***

# 15
Compound: Ho4NiGe3
Source: Alexandria via LeMat-Bulk
Functional: PBE
Structure: optimized geometry

a = 4.0025 Å, b = 4.1394 Å, c = 10.6593 Å
α = 90.00°, β = 90.00°, γ = 90.00°
Space group Pmm2 (No. 25)
Asymmetric unit:
Ho1 0.0000 0.0000 0.0000 (multiplicity 1)
Ho2 0.0000 0.5000 0.4851 (multiplicity 1)
Ho3 0.5000 0.0000 0.7108 (multiplicity 1)
Ho4 0.5000 0.5000 0.2173 (multiplicity 1)
Ni1 0.0000 0.0000 0.2760 (multiplicity 1)
Ge1 0.0000 0.5000 0.7668 (multiplicity 1)
Ge2 0.5000 0.0000 0.4276 (multiplicity 1)
Ge3 0.5000 0.5000 0.9337 (multiplicity 1)

Results
The calculated formation energy comes out at -0.753 eV/atom.

***

# 16
Compound: Tb2MgGa2Ni5
Source: Alexandria via LeMat-Bulk
Functional: PBE
Structure: optimized geometry

a = 9.5664 Å, b = 9.5664 Å, c = 3.5407 Å
α = 90.00°, β = 90.00°, γ = 90.00°
Space group P4/mbm (No. 127)
Asymmetric unit:
Tb1 0.1790 0.3210 0.0000 (multiplicity 4)
Mg1 0.0000 0.0000 0.0000 (multiplicity 2)
Ga1 0.1177 0.6177 0.0000 (multiplicity 4)
Ni1 0.0000 0.5000 0.5000 (multiplicity 2)
Ni2 0.0622 0.7833 0.5000 (multiplicity 8)

Results
The calculated formation energy comes out at -0.339 eV/atom.

***

# 17
Compound: CsY3Cr
Source: Alexandria via LeMat-Bulk
Functional: PBE
Structure: optimized geometry

a = 5.6531 Å, b = 5.6531 Å, c = 5.6531 Å
α = 90.00°, β = 90.00°, γ = 90.00°
Space group Pm-3m (No. 221)
Asymmetric unit:
Cs1 0.0000 0.0000 0.0000 (multiplicity 1)
Y1 0.0000 0.5000 0.5000 (multiplicity 3)
Cr1 0.5000 0.5000 0.5000 (multiplicity 1)

Results
The calculated formation energy comes out at 0.590 eV/atom.

***

# 18
Compound: Tb8Er2Sc3
Source: Alexandria via LeMat-Bulk
Functional: PBE
Structure: optimized geometry

a = 14.5982 Å, b = 8.7534 Å, c = 6.5560 Å
α = 90.00°, β = 98.88°, γ = 90.00°
Space group C2/m (No. 12)
Asymmetric unit:
Tb1 0.0881 0.0000 0.3871 (multiplicity 4)
Tb2 0.1107 0.1830 0.9292 (multiplicity 8)
Tb3 0.1928 0.5000 0.3000 (multiplicity 4)
Er1 0.1989 0.5000 0.7905 (multiplicity 4)
Sc1 0.0000 0.3367 0.5000 (multiplicity 4)
Sc2 0.0000 0.5000 0.0000 (multiplicity 2)

Results
The calculated formation energy comes out at 0.253 eV/atom.

***

# 19
Compound: Pr5Sm2Tm12
Source: Alexandria via LeMat-Bulk
Functional: PBE
Structure: optimized geometry

a = 18.3112 Å, b = 7.0607 Å, c = 10.3117 Å
α = 90.00°, β = 111.17°, γ = 90.00°
Space group C2/m (No. 12)
Asymmetric unit:
Pr1 0.0000 0.0000 0.0000 (multiplicity 2)
Pr2 0.1822 0.5000 0.7121 (multiplicity 4)
Pr3 0.1889 0.0000 0.6845 (multiplicity 4)
Sm1 0.0000 0.2778 0.5000 (multiplicity 4)
Tm1 0.0035 0.5000 0.1734 (multiplicity 4)
Tm2 0.0241 0.0000 0.7438 (multiplicity 4)
Tm3 0.1579 0.2471 0.3674 (multiplicity 8)
Tm4 0.1618 0.2529 0.0187 (multiplicity 8)

Results
The calculated formation energy comes out at 0.179 eV/atom.

***

# 20
Compound: Al2CuCl
Source: Alexandria via LeMat-Bulk
Functional: PBE
Structure: optimized geometry

a = 3.2833 Å, b = 3.2833 Å, c = 7.2660 Å
α = 90.00°, β = 90.00°, γ = 90.00°
Space group P4mm (No. 99)
Asymmetric unit:
Al1 0.0000 0.0000 0.0000 (multiplicity 1)
Al2 0.5000 0.5000 0.2101 (multiplicity 1)
Cu1 0.5000 0.5000 0.8397 (multiplicity 1)
Cl1 0.0000 0.0000 0.6474 (multiplicity 1)

Results
Its formation energy (no corrections) is -0.010 eV/atom.

***

# 21
Compound: Rb5AsH
Source: Alexandria via LeMat-Bulk
Functional: PBE
Structure: optimized geometry

a = 14.6135 Å, b = 9.8065 Å, c = 11.4434 Å
α = 90.00°, β = 113.43°, γ = 90.00°
Space group C2/c (No. 15)
Asymmetric unit:
Rb1 0.0000 0.0813 0.2500 (multiplicity 4)
Rb2 0.0165 0.3094 0.9660 (multiplicity 8)
Rb3 0.2484 0.4607 0.3693 (multiplicity 8)
As1 0.0000 0.4275 0.2500 (multiplicity 4)
H1 0.0000 0.0000 0.0000 (multiplicity 4)

Results
For the electronic total energy, the calculation gives -1.983 eV per atom.

***

# 22
Compound: CrRu2Au
Source: Alexandria via LeMat-Bulk
Functional: PBE
Structure: optimized geometry

a = 2.8713 Å, b = 4.5526 Å, c = 9.0620 Å
α = 90.00°, β = 90.00°, γ = 90.00°
Space group Cmmm (No. 65)
Asymmetric unit:
Cr1 0.0000 0.0000 0.0000 (multiplicity 2)
Ru1 0.0000 0.5000 0.2199 (multiplicity 4)
Au1 0.0000 0.0000 0.5000 (multiplicity 2)

Results
The calculated formation energy comes out at 0.370 eV/atom.

***

# 23
Compound: UCuSb3
Source: Alexandria via LeMat-Bulk
Functional: PBE
Structure: optimized geometry

a = 12.5379 Å, b = 6.1992 Å, c = 6.0754 Å
α = 90.00°, β = 90.00°, γ = 90.00°
Space group Pbcm (No. 57)
Asymmetric unit:
U1 0.1940 0.0026 0.2500 (multiplicity 4)
Cu1 0.3922 0.7500 0.0000 (multiplicity 4)
Sb1 0.0010 0.7500 0.0000 (multiplicity 4)
Sb2 0.2499 0.5019 0.2500 (multiplicity 4)
Sb3 0.4391 0.1025 0.2500 (multiplicity 4)

Results
Its formation energy (no corrections) is -0.114 eV/atom.

***

# 24
Compound: BaInCo2
Source: Alexandria via LeMat-Bulk
Functional: PBE
Structure: optimized geometry

a = 4.1985 Å, b = 4.1985 Å, c = 18.9036 Å
α = 90.00°, β = 90.00°, γ = 120.00°
Space group R3m (No. 160, hexagonal axes)
Asymmetric unit:
Ba1 0.0000 0.0000 0.0000 (multiplicity 3)
In1 0.0000 0.0000 0.1889 (multiplicity 3)
Co1 0.0000 0.0000 0.4622 (multiplicity 3)
Co2 0.0000 0.0000 0.7914 (multiplicity 3)

Results
The calculated formation energy comes out at 0.082 eV/atom.

***

| no. | size of the total moment (μB/f.u.) |
| --- | --- |
| 1 | 0.00 |
| 2 | 0.00 |
| 3 | 0.00 |
| 4 | 0.00 |
| 5 | 0.00 |
| 6 | 0.00 |
| 7 | 1.15 |
| 8 | 0.00 |
| 9 | 1.03 |
| 10 | 1.01 |
| 11 | 0.00 |
| 12 | 0.21 |
| 13 | 2.02 |
| 14 | 0.00 |
| 15 | 0.00 |
| 16 | 0.00 |
| 17 | 2.02 |
| 18 | 0.00 |
| 19 | 0.00 |
| 20 | 0.00 |
| 21 | 0.00 |
| 22 | 0.36 |
| 23 | 2.47 |
| 24 | 2.58 |